Record 1
This record from Alexandria via LeMat-Bulk describes a geometry-optimized Li2VP4O12 structure. The functional is GGA-PBEsol.

Properties
Uncorrected formation energy ... -2.18 eV/atom
Spin magnetization ... 12.0 Bohr magnetons per cell
Calculated volume ... 865.5 Å³ per cell

Structure (CIF):
```
data_Li2VP4O12
_space_group_name_H-M_alt 'P 1'
_space_group_IT_number 1
_cell_length_a 9.227
_cell_length_b 9.355
_cell_length_c 10.027
_cell_angle_alpha 90.00
_cell_angle_beta 90.00
_cell_angle_gamma 90.24
loop_
_space_group_symop_operation_xyz
'x,y,z'
loop_
_atom_site_label
_atom_site_type_symbol
_atom_site_fract_x
_atom_site_fract_y
_atom_site_fract_z
Li1 Li 0.399 0.005 0.169
Li2 Li 0.601 0.995 0.831
Li3 Li 0.601 0.495 0.669
Li4 Li 0.901 0.992 0.827
Li5 Li 0.399 0.505 0.331
Li6 Li 0.099 0.008 0.173
Li7 Li 0.099 0.508 0.327
Li8 Li 0.901 0.492 0.673
V1 V 0.750 0.986 0.197
V2 V 0.250 0.514 0.697
V3 V 0.750 0.486 0.303
V4 V 0.250 0.014 0.803
P1 P 0.250 0.728 0.986
P2 P 0.959 0.709 0.116
P3 P 0.041 0.291 0.884
P4 P 0.750 0.772 0.486
P5 P 0.750 0.693 0.893
P6 P 0.460 0.292 0.885
P7 P 0.250 0.228 0.514
P8 P 0.750 0.193 0.607
P9 P 0.959 0.209 0.384
P10 P 0.041 0.791 0.616
P11 P 0.540 0.708 0.115
P12 P 0.250 0.807 0.393
P13 P 0.540 0.208 0.385
P14 P 0.250 0.307 0.107
P15 P 0.750 0.272 0.014
P16 P 0.460 0.792 0.615
O1 O 0.435 0.133 0.875
O2 O 0.386 0.354 0.017
O3 O 0.614 0.646 0.983
O4 O 0.066 0.632 0.625
O5 O 0.934 0.868 0.125
O6 O 0.747 0.111 0.023
O7 O 0.376 0.176 0.415
O8 O 0.076 0.385 0.767
O9 O 0.249 0.638 0.865
O10 O 0.424 0.387 0.768
O11 O 0.076 0.885 0.733
O12 O 0.123 0.678 0.085
O13 O 0.565 0.867 0.125
O14 O 0.249 0.138 0.635
O15 O 0.066 0.132 0.875
O16 O 0.924 0.615 0.233
O17 O 0.624 0.824 0.585
O18 O 0.924 0.115 0.267
O19 O 0.250 0.649 0.374
O20 O 0.376 0.676 0.085
O21 O 0.885 0.646 0.984
O22 O 0.253 0.389 0.523
O23 O 0.751 0.862 0.365
O24 O 0.934 0.368 0.375
O25 O 0.576 0.113 0.268
O26 O 0.747 0.611 0.477
O27 O 0.115 0.854 0.484
O28 O 0.250 0.404 0.225
O29 O 0.250 0.904 0.275
O30 O 0.750 0.351 0.626
O31 O 0.565 0.367 0.375
O32 O 0.750 0.596 0.775
O33 O 0.250 0.149 0.126
O34 O 0.624 0.324 0.915
O35 O 0.123 0.178 0.415
O36 O 0.424 0.887 0.732
O37 O 0.885 0.146 0.516
O38 O 0.751 0.362 0.135
O39 O 0.877 0.822 0.585
O40 O 0.750 0.096 0.725
O41 O 0.386 0.854 0.483
O42 O 0.877 0.322 0.915
O43 O 0.115 0.354 0.016
O44 O 0.253 0.889 0.977
O45 O 0.614 0.146 0.517
O46 O 0.435 0.633 0.625
O47 O 0.750 0.851 0.874
O48 O 0.576 0.613 0.232
```

---

Record 2
This record from Alexandria via LeMat-Bulk describes a geometry-optimized Sr5Zn structure. The functional is GGA-PBEsol.

Properties
Spin magnetization ... 0.0 Bohr magnetons per cell
Calculated volume ... 260.3 Å³ per cell
Energy of formation from the pure elements ... -0.0404 eV/atom
ΔE to the lowest computed polymorph ... 0.000 eV per atom

Structure (CIF):
```
data_Sr5Zn
_space_group_name_H-M_alt 'P 1'
_space_group_IT_number 1
_cell_length_a 3.973
_cell_length_b 3.973
_cell_length_c 16.489
_cell_angle_alpha 90.00
_cell_angle_beta 90.00
_cell_angle_gamma 90.00
loop_
_space_group_symop_operation_xyz
'x,y,z'
loop_
_atom_site_label
_atom_site_type_symbol
_atom_site_fract_x
_atom_site_fract_y
_atom_site_fract_z
Sr1 Sr 0.000 0.000 0.888
Sr2 Sr 0.000 0.000 0.112
Sr3 Sr 0.500 0.500 0.693
Sr4 Sr 0.500 0.500 0.307
Sr5 Sr 0.000 0.000 0.500
Zn1 Zn 0.500 0.500 0.000
```